The following is a DFT calculation (PBE) of a relaxed structure of LiTmMg2.

Lattice parameters (Å, degrees): 5.4099 5.4099 3.4120 90.00 90.00 90.00
Space group P4/mmm (No. 123)
Unique sites:
Li1 0.0000 0.0000 0.0000 x1
Tm1 0.5000 0.5000 0.0000 x1
Mg1 0.0000 0.5000 0.5000 x2

## Properties
ΔE to the lowest computed polymorph: 6.66 kJ/mol of atoms

The following is a DFT calculation (PBE) of a relaxed structure of Li2PmGe.

Lattice parameters (Å, degrees): 4.6201 10.5434 6.5837 90.00 90.00 90.00
Space group Cmcm (No. 63)
Unique sites:
Li1 0.0000 0.1344 0.0557 x8
Pm1 0.0000 0.4018 0.2500 x4
Ge1 0.0000 0.3102 0.7500 x4

## Properties
ΔE to the lowest computed polymorph: 0.00 kJ/mol of atoms

The following is a DFT calculation (PBE) of a relaxed structure of AcPu2Cl8.

Lattice parameters (Å, degrees): 8.6141 12.6255 5.3958 90.00 104.76 90.00
Space group C2/m (No. 12)
Unique sites:
Ac1 0.0000 0.0000 0.0000 x2
Pu1 0.0000 0.3195 0.5000 x4
Cl1 0.0000 0.2353 0.0000 x4
Cl2 0.1371 0.5000 0.8220 x4
Cl3 0.1899 0.1280 0.5843 x8

## Properties
formation energy without anion corrections: -2.03 eV/atom

The following is a DFT calculation (PBE) of a relaxed structure of YHg2Rh.

Lattice parameters (Å, degrees): 4.4295 4.4295 8.4997 90.00 90.00 90.00
Space group I-4m2 (No. 119)
Unique sites:
Y1 0.0000 0.0000 0.0000 x2
Hg1 0.0000 0.0000 0.5000 x2
Hg2 0.0000 0.5000 0.7500 x2
Rh1 0.0000 0.5000 0.2500 x2

## Properties
VASP energy: -0.144 Ha/atom

The following is a DFT calculation (PBE) of a relaxed structure of Pm5Dy2Y.

Lattice parameters (Å, degrees): 5.6019 11.9631 16.3415 90.00 90.00 90.00
Space group Cmcm (No. 63)
Unique sites:
Pm1 0.0000 0.0402 0.2500 x4
Pm2 0.0000 0.1200 0.5504 x8
Pm3 0.0000 0.4259 0.5931 x8
Dy1 0.0000 0.2746 0.1319 x8
Y1 0.0000 0.2366 0.7500 x4

## Properties
ΔE to the lowest computed polymorph: 0.00 kJ/mol of atoms

The following is a DFT calculation (PBE) of a relaxed structure of BaNp3Tl2O12.

Lattice parameters (Å, degrees): 8.1267 8.1267 17.5901 90.00 90.00 120.00
Space group R-3m (No. 166, hexagonal axes)
Unique sites:
Ba1 0.0000 0.0000 0.0000 x3
Np1 0.0000 0.5000 0.5000 x9
Tl1 0.0000 0.0000 0.3782 x6
O1 0.0495 0.5247 0.3950 x18
O2 0.0910 0.5455 0.8113 x18

## Properties
formation energy without anion corrections: -2.41 eV/atom

The following is a DFT calculation (PBE) of a relaxed structure of KCrPt3.

Lattice parameters (Å, degrees): 4.9188 4.9188 4.9188 90.00 90.00 90.00
Space group Pm-3m (No. 221)
Unique sites:
K1 0.0000 0.0000 0.0000 x1
Cr1 0.5000 0.5000 0.5000 x1
Pt1 0.0000 0.0000 0.5000 x3

## Properties
ΔE to the lowest computed polymorph: 153.33 kJ/mol of atoms

The following is a DFT calculation (PBE) of a relaxed structure of As2OsPt.

Lattice parameters (Å, degrees): 5.5958 5.5958 10.9982 90.00 90.00 90.00
Space group I-42d (No. 122)
Unique sites:
As1 0.2389 0.2500 0.1250 x8
Os1 0.0000 0.0000 0.0000 x4
Pt1 0.0000 0.0000 0.5000 x4

## Properties
ΔE to the lowest computed polymorph: 4.52 kJ/mol of atoms

The following is a DFT calculation (PBE) of a relaxed structure of LaRuCl.

Lattice parameters (Å, degrees): 3.4214 3.4214 11.3400 90.00 90.00 90.00
Space group I4mm (No. 107)
Unique sites:
La1 0.0000 0.0000 0.0000 x2
Ru1 0.0000 0.0000 0.6389 x2
Cl1 0.0000 0.0000 0.3108 x2

## Properties
ΔE to the lowest computed polymorph: 90.06 kJ/mol of atoms
formation energy without anion corrections: -0.22 eV/atom

The following is a DFT calculation (PBE) of a relaxed structure of GaTeW2.

Lattice parameters (Å, degrees): 4.1291 4.1291 18.6391 90.00 90.00 90.00
Space group I-42d (No. 122)
Unique sites:
Ga1 0.0000 0.0000 0.0000 x4
Te1 0.0000 0.0000 0.5000 x4
W1 0.1894 0.2500 0.1250 x8

## Properties
ΔE to the lowest computed polymorph: 10.75 kJ/mol of atoms
formation energy without anion corrections: 0.77 eV/atom

The following is a DFT calculation (PBE) of a relaxed structure of Ni2Pt.

Lattice parameters (Å, degrees): 7.5224 7.5282 5.7135 90.00 109.14 90.00
Space group C2 (No. 5)
Unique sites:
Ni1 0.0000 0.0000 0.0000 x2
Ni2 0.0000 0.4779 0.0000 x2
Ni3 0.0803 0.2363 0.3309 x4
Ni4 0.1649 0.9918 0.6727 x4
Ni5 0.2388 0.2391 0.9998 x4
Pt1 0.0805 0.7411 0.3169 x4
Pt2 0.1715 0.4878 0.6776 x4

## Properties
VASP energy: -0.217 Ha/atom

The following is a DFT calculation (PBE) of a relaxed structure of LiY2H.

Lattice parameters (Å, degrees): 3.5473 3.5473 24.6186 90.00 90.00 120.00
Space group R3m (No. 160, hexagonal axes)
Unique sites:
Li1 0.0000 0.0000 0.0000 x3
Y1 0.0000 0.0000 0.5554 x3
Y2 0.0000 0.0000 0.7786 x3
H1 0.0000 0.0000 0.1673 x3

## Properties
ΔE to the lowest computed polymorph: 0.00 kJ/mol of atoms